Y2TmBi3 | PBE | relaxed

The space group is P-3m1 (No. 164) and the conventional cell measures 4.4537, 4.4537 and 10.9258 Å, with angles of 90.00, 90.00 and 120.00 degrees. The distinct sites, in fractional coordinates, are Y at (0.3333, 0.6667, 0.3322), Tm at (0.0000, 0.0000, 0.0000), Bi at (0.0000, 0.0000, 0.5000) and Bi at (0.3333, 0.6667, 0.8364).

The calculation puts the volume at 187.68 Å³ per cell. As for the crystal system: trigonal. As for the raw total energy: -34.790 eV/cell. As for the total magnetization: 0.001 μB per atom.